DFT (GGA-PBE) results for a relaxed MgCr2Te crystal.

Summary:
- electronic total energy (Ry per atom) = -0.3967
- space group = P4/mmm
- excess energy over the best structure of this formula in the dataset (meV per atom) = 329
- formation energy (no corrections) (eV per formula unit) = 2.39
- DOS at the Fermi energy (states/eV per cell) = 4.168

a = 3.3361 Å, b = 3.3361 Å, c = 5.9860 Å
α = 90.00°, β = 90.00°, γ = 90.00°
Atoms (fractional coordinates):
Cr 0.0000 0.0000 0.9535
Cr 0.0000 0.0000 0.5465
Mg 0.5000 0.5000 0.2500
Te 0.5000 0.5000 0.7500